1.
DFT (PBE) results for PaSi3O9 after structural relaxation.

Geometry as CIF:
```
data_PaSi3O9
_chemical_formula_sum 'Pa4 Si12 O36'
_cell_length_a 8.563
_cell_length_b 11.237
_cell_length_c 7.294
_cell_angle_alpha 90.00
_cell_angle_beta 90.00
_cell_angle_gamma 90.00
_space_group_name_H-M_alt 'C 2 2 21'
_space_group_IT_number 20
loop_
_space_group_symop_operation_xyz
'x,y,z'
'-x,-y,z+1/2'
'x,-y,-z'
'-x,y,-z+1/2'
'x+1/2,y+1/2,z'
'-x+1/2,-y+1/2,z+1/2'
'x+1/2,-y+1/2,-z'
'-x+1/2,y+1/2,-z+1/2'
loop_
_atom_site_label
_atom_site_type_symbol
_atom_site_fract_x
_atom_site_fract_y
_atom_site_fract_z
_atom_site_occupancy
Pa1 Pa 0.122 0.000 0.000 1
Si1 Si 0.018 0.317 0.466 1
Si2 Si 0.240 0.500 0.000 1
O1 O 0.000 0.342 0.250 1
O2 O 0.005 0.176 0.993 1
O3 O 0.128 0.388 0.941 1
O4 O 0.147 0.014 0.682 1
O5 O 0.185 0.375 0.530 1
```

Properties
Energy relative to the elements, uncorrected, meV per atom: -2730
D(E_F), states/eV/f.u.: 5.15
ρ, kg/m3: 4346

***

2.
DFT (PBE) results for PaSiO after structural relaxation.

Geometry as CIF:
```
data_PaSiO
_chemical_formula_sum 'Pa2 Si2 O2'
_cell_length_a 3.315
_cell_length_b 3.315
_cell_length_c 8.402
_cell_angle_alpha 90.00
_cell_angle_beta 90.00
_cell_angle_gamma 90.00
_space_group_name_H-M_alt 'P 4/n m m'
_space_group_IT_number 129
loop_
_space_group_symop_operation_xyz
'x,y,z'
'-x,-y,-z'
'-y+1/2,x,z'
'y+1/2,-x,-z'
'-x+1/2,-y+1/2,z'
'x+1/2,y+1/2,-z'
'y,-x+1/2,z'
'-y,x+1/2,-z'
'x+1/2,-y,-z'
'-x+1/2,y,z'
'-y,-x,-z'
'y,x,z'
'-x,y+1/2,-z'
'x,-y+1/2,z'
'y+1/2,x+1/2,-z'
'-y+1/2,-x+1/2,z'
loop_
_atom_site_label
_atom_site_type_symbol
_atom_site_fract_x
_atom_site_fract_y
_atom_site_fract_z
_atom_site_occupancy
Pa1 Pa 0.250 0.250 0.191 1
Si1 Si 0.250 0.250 0.553 1
O1 O 0.250 0.250 0.913 1
```

Properties
Energy relative to the elements, uncorrected, meV per atom: -1635
D(E_F), states/eV/f.u.: 4.06
ρ, kg/m3: 9899

***

3.
DFT (PBE) results for PaSi2O6 after structural relaxation.

Geometry as CIF:
```
data_PaSi2O6
_chemical_formula_sum 'Pa4 Si8 O24'
_cell_length_a 11.853
_cell_length_b 12.349
_cell_length_c 5.095
_cell_angle_alpha 90.00
_cell_angle_beta 114.67
_cell_angle_gamma 90.00
_space_group_name_H-M_alt 'C 1 2/c 1'
_space_group_IT_number 15
loop_
_space_group_symop_operation_xyz
'x,y,z'
'-x,-y,-z'
'-x,y,-z+1/2'
'x,-y,z+1/2'
'x+1/2,y+1/2,z'
'-x+1/2,-y+1/2,-z'
'-x+1/2,y+1/2,-z+1/2'
'x+1/2,-y+1/2,z+1/2'
loop_
_atom_site_label
_atom_site_type_symbol
_atom_site_fract_x
_atom_site_fract_y
_atom_site_fract_z
_atom_site_occupancy
Pa1 Pa 0.000 0.244 0.250 1
Si1 Si 0.242 0.425 0.676 1
O1 O 0.122 0.345 0.595 1
O2 O 0.129 0.144 0.167 1
O3 O 0.237 0.473 0.370 1
```

Properties
Energy relative to the elements, uncorrected, meV per atom: -2845
D(E_F), states/eV/f.u.: 5.41
ρ, kg/m3: 3756

***

4.
DFT (PBE) results for PaSi2O8 after structural relaxation.

Geometry as CIF:
```
data_PaSi2O8
_chemical_formula_sum 'Pa2 Si4 O16'
_cell_length_a 10.159
_cell_length_b 4.067
_cell_length_c 6.087
_cell_angle_alpha 90.00
_cell_angle_beta 110.61
_cell_angle_gamma 90.00
_space_group_name_H-M_alt 'C 1 2/m 1'
_space_group_IT_number 12
loop_
_space_group_symop_operation_xyz
'x,y,z'
'-x,-y,-z'
'-x,y,-z'
'x,-y,z'
'x+1/2,y+1/2,z'
'-x+1/2,-y+1/2,-z'
'-x+1/2,y+1/2,-z'
'x+1/2,-y+1/2,z'
loop_
_atom_site_label
_atom_site_type_symbol
_atom_site_fract_x
_atom_site_fract_y
_atom_site_fract_z
_atom_site_occupancy
Pa1 Pa 0.000 0.000 0.000 1
Si1 Si 0.216 0.000 0.668 1
O1 O 0.113 0.254 0.761 1
O2 O 0.119 0.500 0.153 1
O3 O 0.184 0.000 0.384 1
```

Properties
Energy relative to the elements, uncorrected, meV per atom: -2156
D(E_F), states/eV/f.u.: 5.76
ρ, kg/m3: 5858

***

5.
DFT (PBE) results for PaSiSnO6 after structural relaxation.

Geometry as CIF:
```
data_PaSiSnO6
_chemical_formula_sum 'Pa1 Si1 Sn1 O6'
_cell_length_a 5.3302
_cell_length_b 5.3302
_cell_length_c 4.7450
_cell_angle_alpha 90.00
_cell_angle_beta 90.00
_cell_angle_gamma 120.00
_space_group_name_H-M_alt 'P 3 1 2'
_space_group_IT_number 149
loop_
_space_group_symop_operation_xyz
'x,y,z'
'-y,x-y,z'
'-x+y,-x,z'
'-y,-x,-z'
'-x+y,y,-z'
'x,x-y,-z'
loop_
_atom_site_label
_atom_site_type_symbol
_atom_site_fract_x
_atom_site_fract_y
_atom_site_fract_z
_atom_site_occupancy
Pa1 Pa 0.0000 0.0000 0.0000 1
Si1 Si 0.3333 0.6667 0.0000 1
Sn1 Sn 0.6667 0.3333 0.5000 1
O1 O 0.0493 0.3816 0.2176 1
```

Properties
Energy relative to the elements, uncorrected, meV per atom: -2388
D(E_F), states/eV/f.u.: 2.74
ρ, kg/m3: 6739

***

6.
DFT (PBE) results for SrPaSiO6 after structural relaxation.

Geometry as CIF:
```
data_SrPaSiO6
_chemical_formula_sum 'Sr1 Pa1 Si1 O6'
_cell_length_a 5.3997
_cell_length_b 5.3997
_cell_length_c 4.7108
_cell_angle_alpha 90.00
_cell_angle_beta 90.00
_cell_angle_gamma 120.00
_space_group_name_H-M_alt 'P 3 1 2'
_space_group_IT_number 149
loop_
_space_group_symop_operation_xyz
'x,y,z'
'-y,x-y,z'
'-x+y,-x,z'
'-y,-x,-z'
'-x+y,y,-z'
'x,x-y,-z'
loop_
_atom_site_label
_atom_site_type_symbol
_atom_site_fract_x
_atom_site_fract_y
_atom_site_fract_z
_atom_site_occupancy
Sr1 Sr 0.0000 0.0000 0.0000 1
Pa1 Pa 0.6667 0.3333 0.5000 1
Si1 Si 0.3333 0.6667 0.0000 1
O1 O 0.0354 0.4207 0.2278 1
```

Properties
Energy relative to the elements, uncorrected, meV per atom: -2662
D(E_F), states/eV/f.u.: 4.53
ρ, kg/m3: 6181

***

7.
DFT (PBE) results for SrPaSi2O8 after structural relaxation.

Geometry as CIF:
```
data_SrPaSi2O8
_chemical_formula_sum 'Sr2 Pa2 Si4 O16'
_cell_length_a 7.161
_cell_length_b 7.161
_cell_length_c 6.290
_cell_angle_alpha 90.00
_cell_angle_beta 90.00
_cell_angle_gamma 90.00
_space_group_name_H-M_alt 'I -4 m 2'
_space_group_IT_number 119
_space_group_name_Hall 'I -4 -2'
loop_
_atom_site_label
_atom_site_type_symbol
_atom_site_fract_x
_atom_site_fract_y
_atom_site_fract_z
_atom_site_occupancy
Sr1 Sr 0.000 0.000 0.000 1
Pa1 Pa 0.000 0.500 0.250 1
Si1 Si 0.000 0.000 0.500 1
Si2 Si 0.000 0.500 0.750 1
O1 O 0.000 0.189 0.347 1
O2 O 0.000 0.331 0.926 1
```

Properties
Energy relative to the elements, uncorrected, meV per atom: -2854
D(E_F), states/eV/f.u.: 7.36
ρ, kg/m3: 5178

***

8.
DFT (PBE) results for SrPaSiO5 after structural relaxation.

Geometry as CIF:
```
data_SrPaSiO5
_chemical_formula_sum 'Sr4 Pa4 Si4 O20'
_cell_length_a 7.116
_cell_length_b 9.589
_cell_length_c 7.881
_cell_angle_alpha 90.00
_cell_angle_beta 111.58
_cell_angle_gamma 90.00
_space_group_name_H-M_alt 'C 1 2/c 1'
_space_group_IT_number 15
loop_
_space_group_symop_operation_xyz
'x,y,z'
'-x,-y,-z'
'-x,y,-z+1/2'
'x,-y,z+1/2'
'x+1/2,y+1/2,z'
'-x+1/2,-y+1/2,-z'
'-x+1/2,y+1/2,-z+1/2'
'x+1/2,-y+1/2,z+1/2'
loop_
_atom_site_label
_atom_site_type_symbol
_atom_site_fract_x
_atom_site_fract_y
_atom_site_fract_z
_atom_site_occupancy
Sr1 Sr 0.000 0.158 0.250 1
Pa1 Pa 0.000 0.500 0.000 1
Si1 Si 0.000 0.181 0.750 1
O1 O 0.000 0.408 0.250 1
O2 O 0.106 0.282 0.638 1
O3 O 0.165 0.074 0.897 1
```

Properties
Energy relative to the elements, uncorrected, meV per atom: -3114
D(E_F), states/eV/f.u.: 2.62
ρ, kg/m3: 5668

***

9.
DFT (PBE) results for TbPaSi2O8 after structural relaxation.

Geometry as CIF:
```
data_TbPaSi2O8
_chemical_formula_sum 'Tb2 Pa2 Si4 O16'
_cell_length_a 6.988
_cell_length_b 6.988
_cell_length_c 6.209
_cell_angle_alpha 90.00
_cell_angle_beta 90.00
_cell_angle_gamma 90.00
_space_group_name_H-M_alt 'I -4 m 2'
_space_group_IT_number 119
_space_group_name_Hall 'I -4 -2'
loop_
_atom_site_label
_atom_site_type_symbol
_atom_site_fract_x
_atom_site_fract_y
_atom_site_fract_z
_atom_site_occupancy
Tb1 Tb 0.000 0.000 0.000 1
Pa1 Pa 0.000 0.500 0.250 1
Si1 Si 0.000 0.000 0.500 1
Si2 Si 0.000 0.500 0.750 1
O1 O 0.000 0.183 0.332 1
O2 O 0.000 0.323 0.925 1
```

Properties
Energy relative to the elements, uncorrected, meV per atom: -3250
D(E_F), states/eV/f.u.: 0.00
ρ, kg/m3: 6288

***

10.
DFT (PBE) results for PaTlSiO5 after structural relaxation.

Geometry as CIF:
```
data_PaTlSiO5
_chemical_formula_sum 'Pa4 Tl4 Si4 O20'
_cell_length_a 7.450
_cell_length_b 9.728
_cell_length_c 8.150
_cell_angle_alpha 90.00
_cell_angle_beta 116.60
_cell_angle_gamma 90.00
_space_group_name_H-M_alt 'C 1 2/c 1'
_space_group_IT_number 15
loop_
_space_group_symop_operation_xyz
'x,y,z'
'-x,-y,-z'
'-x,y,-z+1/2'
'x,-y,z+1/2'
'x+1/2,y+1/2,z'
'-x+1/2,-y+1/2,-z'
'-x+1/2,y+1/2,-z+1/2'
'x+1/2,-y+1/2,z+1/2'
loop_
_atom_site_label
_atom_site_type_symbol
_atom_site_fract_x
_atom_site_fract_y
_atom_site_fract_z
_atom_site_occupancy
Pa1 Pa 0.000 0.000 0.000 1
Tl1 Tl 0.000 0.335 0.250 1
Si1 Si 0.000 0.311 0.750 1
O1 O 0.000 0.061 0.250 1
O2 O 0.070 0.210 0.624 1
O3 O 0.190 0.413 0.879 1
```

Properties
Energy relative to the elements, uncorrected, meV per atom: -2743
D(E_F), states/eV/f.u.: 0.00
ρ, kg/m3: 6835

***

11.
DFT (PBE) results for PaTlSi2O8 after structural relaxation.

Geometry as CIF:
```
data_PaTlSi2O8
_chemical_formula_sum 'Pa1 Tl1 Si2 O8'
_cell_length_a 5.6406
_cell_length_b 5.6406
_cell_length_c 7.8238
_cell_angle_alpha 90.00
_cell_angle_beta 90.00
_cell_angle_gamma 120.00
_space_group_name_H-M_alt 'P -3 m 1'
_space_group_IT_number 164
_space_group_name_Hall '-P 3 2"'
loop_
_atom_site_label
_atom_site_type_symbol
_atom_site_fract_x
_atom_site_fract_y
_atom_site_fract_z
_atom_site_occupancy
Pa1 Pa 0.0000 0.0000 0.0000 1
Tl1 Tl 0.0000 0.0000 0.5000 1
Si1 Si 0.3333 0.6667 0.7620 1
O1 O 0.1750 0.3500 0.8301 1
O2 O 0.3333 0.6667 0.5496 1
```

Properties
Energy relative to the elements, uncorrected, meV per atom: -2319
D(E_F), states/eV/f.u.: 8.37
ρ, kg/m3: 4773

***

12.
DFT (PBE) results for Pa2TlSiO8 after structural relaxation.

Geometry as CIF:
```
data_Pa2TlSiO8
_chemical_formula_sum 'Pa4 Tl2 Si2 O16'
_cell_length_a 6.703
_cell_length_b 6.944
_cell_length_c 7.126
_cell_angle_alpha 90.00
_cell_angle_beta 90.00
_cell_angle_gamma 90.00
_space_group_name_H-M_alt 'C m m m'
_space_group_IT_number 65
_space_group_name_Hall '-C 2 2'
loop_
_atom_site_label
_atom_site_type_symbol
_atom_site_fract_x
_atom_site_fract_y
_atom_site_fract_z
_atom_site_occupancy
Pa1 Pa 0.000 0.000 0.238 1
Tl1 Tl 0.000 0.500 0.500 1
Si1 Si 0.000 0.500 0.000 1
O1 O 0.000 0.174 0.500 1
O2 O 0.000 0.213 0.000 1
O3 O 0.186 0.500 0.181 1
```

Properties
Energy relative to the elements, uncorrected, meV per atom: -2652
D(E_F), states/eV/f.u.: 1.73
ρ, kg/m3: 8236

***

13.
DFT (PBE) results for Tm2PaSiO8 after structural relaxation.

Geometry as CIF:
```
data_Tm2PaSiO8
_chemical_formula_sum 'Tm2 Pa1 Si1 O8'
_cell_length_a 4.878
_cell_length_b 6.552
_cell_length_c 4.880
_cell_angle_alpha 90.00
_cell_angle_beta 90.95
_cell_angle_gamma 90.00
_space_group_name_H-M_alt 'P 1 2/m 1'
_space_group_IT_number 10
loop_
_space_group_symop_operation_xyz
'x,y,z'
'-x,-y,-z'
'-x,y,-z'
'x,-y,z'
loop_
_atom_site_label
_atom_site_type_symbol
_atom_site_fract_x
_atom_site_fract_y
_atom_site_fract_z
_atom_site_occupancy
Tm1 Tm 0.000 0.233 0.000 1
Pa1 Pa 0.500 0.500 0.500 1
Si1 Si 0.500 0.000 0.500 1
O1 O 0.194 0.500 0.195 1
O2 O 0.239 0.000 0.240 1
O3 O 0.322 0.211 0.679 1
```

Properties
Energy relative to the elements, uncorrected, meV per atom: -3071
D(E_F), states/eV/f.u.: 5.04
ρ, kg/m3: 7720